LaOsW2O (PBE+U, optimized geometry); final energy = -6.917 eV/atom; DOS(E_F) = 2.58 states/eV/cell; SG = No. 123; V = 89.8 Å³ per cell
1.0
4.288 0.000 0.000
0.000 4.288 0.000
0.000 0.000 4.885
La Os W O
1 1 2 1
Cartesian
0.000 0.000 0.000
2.144 2.144 0.000
0.000 2.144 2.443
2.144 0.000 2.443
0.000 0.000 2.443